Record 1
! K3CuO2 (GGA-PBEsol, relaxed); values from VASP
&SYSTEM
  ibrav = 0, nat = 48, ntyp = 3
/
ATOMIC_SPECIES
K 39.10 K.upf
Cu 63.55 Cu.upf
O 16.00 O.upf
ATOMIC_POSITIONS angstrom
K 0.215 0.215 0.000
K 0.298 3.710 0.011
K 0.489 8.027 3.283
K 0.548 4.556 3.294
K 1.279 6.252 11.253
K 1.993 2.980 7.970
K 2.265 7.238 8.443
K 2.980 1.993 5.160
K 3.710 0.298 13.119
K 3.769 3.769 0.000
K 3.960 7.969 3.271
K 4.043 4.474 3.283
K 4.474 4.043 9.848
K 4.556 0.548 9.837
K 4.748 4.748 6.565
K 4.806 8.219 6.554
K 5.537 6.524 11.725
K 6.252 1.279 1.878
K 6.524 5.537 1.405
K 7.238 2.265 4.688
K 7.969 3.960 9.859
K 8.027 0.489 9.848
K 8.219 4.806 6.577
K 8.301 8.301 6.565
Cu 1.995 2.013 2.183
Cu 2.013 1.995 10.948
Cu 2.246 6.253 5.465
Cu 2.264 6.271 1.100
Cu 6.253 2.246 7.665
Cu 6.271 2.264 12.031
Cu 6.504 6.522 4.383
Cu 6.522 6.504 8.748
O 0.200 2.018 2.193
O 0.474 6.240 1.043
O 1.982 3.785 10.891
O 2.018 0.200 10.938
O 2.241 4.458 5.476
O 2.276 8.043 5.523
O 3.785 1.982 2.240
O 4.058 6.276 1.090
O 4.458 2.241 7.655
O 4.732 6.535 8.805
O 6.240 0.474 12.088
O 6.276 4.058 12.041
O 6.499 8.317 4.372
O 6.535 4.732 4.325
O 8.043 2.276 7.608
O 8.317 6.499 8.758
CELL_PARAMETERS angstrom
8.517 0.000 0.000
0.000 8.517 0.000
0.000 0.000 13.131
! - Magnetization: 0.43 μB per cell
! - Space group: P4_12_12 (92)
! - ΔE_f (raw): -1.065 eV per atom
! - ρ: 3.0 g cm⁻³

---

Record 2
! KCu4P3O12 (GGA-PBEsol, relaxed); values from VASP
&SYSTEM
  ibrav = 0, nat = 40, ntyp = 4
/
ATOMIC_SPECIES
K 39.10 K.upf
Cu 63.55 Cu.upf
P 30.97 P.upf
O 16.00 O.upf
ATOMIC_POSITIONS angstrom
K 0.838 1.590 1.429
K 10.652 9.329 6.677
Cu 3.208 5.395 6.362
Cu 4.271 4.953 3.417
Cu 4.247 2.035 3.237
Cu 3.606 6.324 0.444
Cu 7.884 4.595 7.662
Cu 7.243 8.884 4.869
Cu 7.219 5.966 4.689
Cu 8.282 5.524 1.744
P 2.482 7.243 3.640
P 5.814 7.045 7.211
P 5.572 3.476 6.082
P 5.918 7.442 2.023
P 5.675 3.873 0.895
P 9.008 3.676 4.466
O 3.197 6.144 4.474
O 4.348 6.823 6.831
O 2.307 6.728 2.173
O 4.291 3.801 6.863
O 2.987 3.480 3.843
O 3.238 8.550 3.673
O 5.823 8.349 8.078
O 6.429 5.867 7.973
O 5.367 2.142 5.290
O 5.898 4.621 5.104
O 6.742 3.188 7.075
O 4.823 3.582 2.181
O 6.667 7.337 5.925
O 4.748 7.731 1.031
O 5.591 6.298 3.001
O 6.123 8.777 2.816
O 5.060 5.052 0.132
O 5.667 2.569 0.028
O 8.251 2.369 4.433
O 8.502 7.439 4.263
O 7.199 7.118 1.243
O 9.183 4.191 5.933
O 7.141 4.096 1.274
O 8.292 4.775 3.632
CELL_PARAMETERS angstrom
7.445 0.000 0.000
0.324 7.814 0.000
3.720 3.105 8.106
! - Magnetization: 7.89 μB per cell
! - Space group: P-1 (2)
! - ΔE_f (raw): -1.558 eV per atom
! - ρ: 4.1 g cm⁻³

---

Record 3
! K2CuP2O7 (GGA-PBEsol, relaxed); values from VASP
&SYSTEM
  ibrav = 0, nat = 48, ntyp = 4
/
ATOMIC_SPECIES
K 39.10 K.upf
Cu 63.55 Cu.upf
P 30.97 P.upf
O 16.00 O.upf
ATOMIC_POSITIONS angstrom
K 1.335 1.312 1.232
K 3.000 3.937 3.446
K 4.098 1.312 8.228
K 5.763 3.937 6.014
K 8.433 1.312 3.551
K 10.098 3.937 1.337
K 11.196 1.312 6.119
K 12.861 3.937 8.333
Cu 2.293 3.937 6.993
Cu 4.805 1.312 2.211
Cu 9.391 3.937 7.354
Cu 11.903 1.312 2.572
P 0.678 1.312 7.367
P 2.583 1.312 5.294
P 4.515 3.937 0.512
P 6.420 3.937 2.585
P 7.776 1.312 6.980
P 9.681 1.312 9.053
P 11.612 3.937 4.271
P 13.518 3.937 2.198
O 0.814 3.937 2.060
O 1.026 1.312 5.770
O 1.345 0.052 7.975
O 1.345 2.572 7.975
O 2.608 1.312 3.788
O 3.207 0.034 5.909
O 3.207 2.590 5.909
O 3.890 2.658 1.127
O 3.890 5.215 1.127
O 4.490 3.937 8.571
O 5.753 2.677 3.193
O 5.753 5.197 3.193
O 6.072 3.937 0.987
O 6.284 1.312 6.843
O 7.912 3.937 2.722
O 8.124 1.312 8.578
O 8.443 0.052 6.372
O 8.443 2.572 6.372
O 9.706 1.312 0.994
O 10.305 0.034 8.438
O 10.305 2.590 8.438
O 10.988 2.658 3.656
O 10.988 5.215 3.656
O 11.588 3.937 5.777
O 12.851 2.677 1.590
O 12.851 5.197 1.590
O 13.170 3.937 3.795
O 13.381 1.312 7.505
CELL_PARAMETERS angstrom
14.196 0.000 0.000
0.000 5.249 0.000
0.000 0.000 9.565
! - Magnetization: 4.08 μB per cell
! - Space group: Pnma (62)
! - ΔE_f (raw): -2.006 eV per atom
! - ρ: 2.9 g cm⁻³

---

Record 4
! KCuPO4 (GGA-PBEsol, relaxed); values from VASP
&SYSTEM
  ibrav = 0, nat = 56, ntyp = 4
/
ATOMIC_SPECIES
K 39.10 K.upf
Cu 63.55 Cu.upf
P 30.97 P.upf
O 16.00 O.upf
ATOMIC_POSITIONS angstrom
K 0.071 3.097 0.241
K 0.071 5.813 3.671
K 3.262 12.007 0.241
K 3.262 14.723 3.671
K 3.404 3.097 3.189
K 3.404 5.813 6.620
K 6.595 12.007 3.189
K 6.595 14.723 6.620
Cu 1.535 8.969 1.939
Cu 1.535 17.761 5.369
Cu 1.798 0.059 1.939
Cu 1.798 8.851 5.369
Cu 4.868 8.969 1.492
Cu 4.868 17.761 4.922
Cu 5.131 0.059 1.492
Cu 5.131 8.851 4.922
P 0.080 10.787 6.707
P 0.080 15.943 3.277
P 3.253 1.877 6.707
P 3.253 7.033 3.277
P 3.413 10.787 3.584
P 3.413 15.943 0.153
P 6.586 1.877 3.584
P 6.586 7.033 0.153
O 0.433 1.457 4.992
O 0.433 7.453 1.562
O 0.594 12.205 6.707
O 0.594 14.524 3.277
O 1.016 1.713 2.489
O 1.016 7.197 5.919
O 1.257 9.753 0.177
O 1.257 16.977 3.607
O 2.076 0.843 0.177
O 2.076 8.067 3.607
O 2.317 10.622 2.489
O 2.317 16.107 5.919
O 2.739 3.296 6.707
O 2.739 5.614 3.277
O 2.900 10.367 4.992
O 2.900 16.363 1.562
O 3.766 1.457 5.298
O 3.766 7.453 1.868
O 3.927 12.205 3.584
O 3.927 14.524 0.153
O 4.349 1.713 0.941
O 4.349 7.197 4.371
O 4.590 9.753 3.253
O 4.590 16.977 6.683
O 5.409 0.843 3.253
O 5.409 8.067 6.683
O 5.650 10.622 0.941
O 5.650 16.107 4.371
O 6.072 3.296 3.584
O 6.072 5.614 0.153
O 6.233 10.367 5.298
O 6.233 16.363 1.868
CELL_PARAMETERS angstrom
6.666 0.000 0.000
0.000 17.820 0.000
0.000 0.000 6.860
! - Magnetization: 7.02 μB per cell
! - Space group: Pbca (61)
! - Polymorph energy (0 for the lowest one): 0 meV per atom
! - ΔE_f (raw): -1.806 eV per atom
! - ρ: 3.2 g cm⁻³